# 1
# CeAgN PBE optimized geometry
data_CeAgN
_chemical_formula_sum 'Ce2 Ag2 N2'
_space_group_name_H-M_alt 'P 4/n m m'
_space_group_IT_number 129
_cell_length_a 4.000
_cell_length_b 4.000
_cell_length_c 7.503
_cell_angle_alpha 90.00
_cell_angle_beta 90.00
_cell_angle_gamma 90.00
loop_
_space_group_symop_operation_xyz
'x,y,z'
'-x,-y,-z'
'-y+1/2,x,z'
'y+1/2,-x,-z'
'-x+1/2,-y+1/2,z'
'x+1/2,y+1/2,-z'
'y,-x+1/2,z'
'-y,x+1/2,-z'
'x+1/2,-y,-z'
'-x+1/2,y,z'
'-y,-x,-z'
'y,x,z'
'-x,y+1/2,-z'
'x,-y+1/2,z'
'y+1/2,x+1/2,-z'
'-y+1/2,-x+1/2,z'
loop_
_atom_site_label
_atom_site_fract_x
_atom_site_fract_y
_atom_site_fract_z
Ce1 0.250 0.250 0.145
Ag1 0.250 0.250 0.568
N1 0.250 0.750 0.000
# Formation energy from raw total energies   -2.7 eV/f.u.


# 2
# BaPr2Tm PBE optimized geometry
data_BaPr2Tm
_chemical_formula_sum 'Ba3 Pr6 Tm3'
_space_group_name_H-M_alt 'R -3 m'
_space_group_IT_number 166
_space_group_name_Hall '-R 3 2"'
_cell_length_a 3.6873
_cell_length_b 3.6873
_cell_length_c 39.4436
_cell_angle_alpha 90.00
_cell_angle_beta 90.00
_cell_angle_gamma 120.00
loop_
_atom_site_label
_atom_site_fract_x
_atom_site_fract_y
_atom_site_fract_z
Ba1 0.0000 0.0000 0.0000
Pr1 0.0000 0.0000 0.0942
Tm1 0.0000 0.0000 0.5000
# Relative energy among the computed polymorphs   0.086 eV/atom
# Calculated formation energy   0.78 eV per formula unit


# 3
# Co PBE optimized geometry
data_Co
_chemical_formula_sum 'Co3'
_space_group_name_H-M_alt 'P 6/m m m'
_space_group_IT_number 191
_space_group_name_Hall '-P 6 2'
_cell_length_a 3.9687
_cell_length_b 3.9687
_cell_length_c 2.4316
_cell_angle_alpha 90.00
_cell_angle_beta 90.00
_cell_angle_gamma 120.00
loop_
_atom_site_label
_atom_site_fract_x
_atom_site_fract_y
_atom_site_fract_z
Co1 0.0000 0.0000 0.0000
Co2 0.3333 0.6667 0.5000
# Relative energy among the computed polymorphs   0.080 eV/atom
# Calculated formation energy   0.08 eV per formula unit


no.,total DFT energy (no corrections) (eV/atom)
1,-6.587
2,-3.793
3,-7.026